## P
A plane-wave DFT calculation with GGA-PBE was carried out for an optimized crystal structure of Cs2HfSn.

Cell: 14.455 14.455 10.595 Å, 46.99 46.99 90.00°
Atoms (fractional coordinates):
Cs 0.458 0.125 0.250
Cs 0.292 0.625 0.250
Sn 0.250 0.750 0.500
Hf 0.000 0.000 0.000
Cs 0.875 0.708 0.750
Cs 0.375 0.542 0.750
Sn 0.500 0.500 0.000
Hf 0.750 0.250 0.500

As for the space group: I-42d (122). For the magnetization, the calculation gives 0.0 μB per cell.


## Q
A plane-wave DFT calculation with GGA-PBE was carried out for an optimized crystal structure of Cs2HfSn.

Cell: 6.138 6.138 6.138 Å, 60.00 60.00 60.00°
Atoms (fractional coordinates):
Sn 0.000 0.000 0.000
Hf 0.500 0.500 0.500
Cs 0.250 0.250 0.250
Cs 0.750 0.750 0.750

As for the space group: Fm-3m (225). For the magnetization, the calculation gives 0.0 μB per cell.


It is P that is the most stable of them.